(1)
This record from Alexandria describes a relaxed structure of K2TmHCl6. The functional is PBE-GGA.

Unit cell a=7.1874 b=7.3195 c=7.6122 alpha=107.57 beta=115.64 gamma=103.25
With the nearest neighbours (Å) after each atom.
Fractional positions:
K1 0.1877 0.0087 0.3047  6 Cl 3.11-3.44
K2 0.8123 0.9913 0.6953  6 Cl 3.11-3.44
Tm1 0.5000 0.5000 0.0000  6 Cl 2.57-2.76
H1 0.0000 0.5000 0.5000  2 Cl 1.56
Cl1 0.0987 0.3676 0.6111  1 H 1.56
Cl2 0.2588 0.3364 0.1293  1 Tm 2.58
Cl3 0.4827 0.1369 0.8021  1 Tm 2.57
Cl4 0.5173 0.8631 0.1979  1 Tm 2.57
Cl5 0.7412 0.6636 0.8707  1 Tm 2.58
Cl6 0.9013 0.6324 0.3889  1 H 1.56

Computed properties:
**Symmetry**: P-1 (2)
**VASP energy**: -38.9 eV/cell
**Crystal system**: triclinic
**Total magnetic moment**: 0.0 μB per formula unit



(2)
This record from Alexandria describes a relaxed structure of KUH2Cl8. The functional is PBE-GGA.

Unit cell a=7.0829 b=7.5424 c=7.8901 alpha=72.03 beta=87.01 gamma=83.93
With the nearest neighbours (Å) after each atom.
Fractional positions:
K1 0.0000 0.0000 0.0000  6 Cl 3.23-3.28
U1 0.0000 0.5000 0.5000  6 Cl 2.50-2.59
H1 0.3075 0.2986 0.1522  1 Cl 1.31
H2 0.6925 0.7014 0.8478  1 Cl 1.31
Cl1 0.1703 0.1732 0.6020  1 U 2.53
Cl2 0.1811 0.5714 0.1960  1 H 2.27
Cl3 0.2549 0.6218 0.6277  1 U 2.50
Cl4 0.3730 0.1386 0.1299  1 H 1.31
Cl5 0.6270 0.8614 0.8701  1 H 1.31
Cl6 0.7451 0.3782 0.3723  1 U 2.50
Cl7 0.8189 0.4286 0.8040  1 H 2.27
Cl8 0.8297 0.8268 0.3980  1 U 2.53

Computed properties:
**Symmetry**: P-1 (2)
**VASP energy**: -50.1 eV/cell
**Crystal system**: triclinic
**Total magnetic moment**: 1.0 μB per formula unit



(3)
This record from Alexandria describes a relaxed structure of KVH2Cl8. The functional is PBE-GGA.

Unit cell a=6.5586 b=6.6849 c=8.7206 alpha=72.99 beta=81.50 gamma=75.31
With the nearest neighbours (Å) after each atom.
Fractional positions:
K1 0.0000 0.0000 0.0000  6 Cl 3.20-3.28
V1 0.0000 0.0000 0.5000  6 Cl 2.27-2.29
H1 0.4141 0.7303 0.2658  1 Cl 1.32
H2 0.5859 0.2697 0.7342  1 Cl 1.32
Cl1 0.0868 0.2201 0.2577  1 V 2.28
Cl2 0.1091 0.2037 0.6254  1 V 2.27
Cl3 0.3337 0.7872 0.4989  1 H 2.14, 1 V 2.29
Cl4 0.4604 0.7054 0.1191  1 H 1.32
Cl5 0.5396 0.2946 0.8809  1 H 1.32
Cl6 0.6663 0.2128 0.5011  1 H 2.14, 1 V 2.29
Cl7 0.8909 0.7963 0.3746  1 V 2.27
Cl8 0.9132 0.7799 0.7423  1 V 2.28

Computed properties:
**Symmetry**: P-1 (2)
**VASP energy**: -43.5 eV/cell
**Crystal system**: triclinic
**Total magnetic moment**: 0.0 μB per formula unit



(4)
This record from Alexandria describes a relaxed structure of KZnHCl3. The functional is PBE-GGA.

Unit cell a=6.4790 b=8.4084 c=11.9922 alpha=90.00 beta=90.00 gamma=90.00
With the nearest neighbours (Å) after each atom.
Fractional positions:
K1 0.2131 0.0197 0.4871  7 Cl 3.15-3.50
K2 0.2869 0.9803 0.9871  7 Cl 3.15-3.50
K3 0.7131 0.4803 0.5129  7 Cl 3.15-3.50
K4 0.7869 0.5197 0.0129  7 Cl 3.15-3.50
Zn1 0.2347 0.4562 0.7282  1 H 1.77
Zn2 0.2653 0.5438 0.2282  1 H 1.77
Zn3 0.7347 0.0438 0.2718  1 H 1.77
Zn4 0.7653 0.9562 0.7718  1 H 1.77
H1 0.0904 0.6339 0.7206  1 Zn 1.77, 1 Cl 1.86
H2 0.4096 0.3661 0.2206  1 Zn 1.77, 1 Cl 1.86
H3 0.5904 0.8661 0.2794  1 Zn 1.77, 1 Cl 1.86
H4 0.9096 0.1339 0.7794  1 Zn 1.77, 1 Cl 1.86
Cl1 0.0634 0.2869 0.8538  1 H 1.86
Cl2 0.0674 0.0140 0.2295  1 Zn 2.23
Cl3 0.1908 0.3838 0.5471  1 Zn 2.27
Cl4 0.3092 0.6162 0.0471  1 Zn 2.27
Cl5 0.4326 0.9860 0.7295  1 Zn 2.23
Cl6 0.4366 0.7131 0.3538  1 H 1.86
Cl7 0.5634 0.2131 0.1462  1 H 1.86
Cl8 0.5674 0.4860 0.7705  1 Zn 2.23
Cl9 0.6908 0.1162 0.4529  1 Zn 2.27
Cl10 0.8092 0.8838 0.9529  1 Zn 2.27
Cl11 0.9326 0.5140 0.2705  1 Zn 2.23
Cl12 0.9366 0.7869 0.6462  1 H 1.86

Computed properties:
**Symmetry**: P2_12_12_1 (19)
**VASP energy**: -66.8 eV/cell
**Crystal system**: orthorhombic
**Total magnetic moment**: 1.0 μB per formula unit



(5)
This record from Alexandria describes a relaxed structure of La2H2Cl. The functional is PBE-GGA.

Unit cell a=7.5994 b=7.5994 c=7.5994 alpha=152.39 beta=152.39 gamma=39.44
With the nearest neighbours (Å) after each atom.
Fractional positions:
La1 0.1485 0.1485 0.0000  4 H 2.32
La2 0.8515 0.8515 0.0000  4 H 2.32
H1 0.2500 0.7500 0.5000  4 La 2.32, 4 H 2.56
H2 0.7500 0.2500 0.5000  4 La 2.32, 4 H 2.56
Cl1 0.5000 0.5000 0.0000  8 La 3.33, 4 Cl 3.63

Computed properties:
**Symmetry**: I4/mmm (139)
**VASP energy**: -23.0 eV/cell
**Crystal system**: tetragonal
**Total magnetic moment**: 0.0 μB per formula unit



(6)
This record from Alexandria describes a relaxed structure of La4H2Cl5. The functional is PBE-GGA.

Unit cell a=8.7833 b=8.7833 c=8.8534 alpha=104.77 beta=104.77 gamma=26.83
With the nearest neighbours (Å) after each atom.
Fractional positions:
La1 0.0000 0.0000 0.2459  2 H 2.31
La2 0.0000 0.0000 0.7541  2 H 2.31
La3 0.3612 0.3612 0.9299  2 H 2.53-2.54
La4 0.6388 0.6388 0.0701  2 H 2.53-2.54
H1 0.4995 0.4995 0.8766  1 H 2.18, 2 La 2.31
H2 0.5005 0.5005 0.1234  1 H 2.18, 2 La 2.31
Cl1 0.1730 0.1730 0.3143  3 La 2.86-2.92
Cl2 0.1762 0.1762 0.8541  4 La 2.91-3.05
Cl3 0.5000 0.5000 0.5000  4 La 3.04, 2 H 3.34
Cl4 0.8238 0.8238 0.1459  4 La 2.91-3.05
Cl5 0.8270 0.8270 0.6857  3 La 2.86-2.92

Computed properties:
**Symmetry**: C2/m (12)
**VASP energy**: -53.1 eV/cell
**Crystal system**: monoclinic
**Total magnetic moment**: 0.0 μB per formula unit



(7)
This record from Alexandria describes a relaxed structure of La4HCl5. The functional is PBE-GGA.

Unit cell a=9.0060 b=9.0060 c=8.4434 alpha=104.05 beta=104.05 gamma=24.86
With the nearest neighbours (Å) after each atom.
Fractional positions:
La1 0.0022 0.0022 0.2756  2 H 2.72, 4 Cl 2.87-3.02
La2 0.3511 0.3511 0.4138  1 H 2.54
La3 0.6489 0.6489 0.5862  1 H 2.54
La4 0.9978 0.9978 0.7244  2 H 2.72, 4 Cl 2.87-3.02
H1 0.5000 0.5000 0.5000  6 La 2.54-2.72
Cl1 0.1653 0.1653 0.8474  3 La 2.87-2.90
Cl2 0.1748 0.1748 0.3383  4 La 2.95-3.01
Cl3 0.5000 0.5000 0.0000  4 La 3.02
Cl4 0.8252 0.8252 0.6617  4 La 2.95-3.01
Cl5 0.8347 0.8347 0.1526  3 La 2.87-2.90

Computed properties:
**Symmetry**: C2/m (12)
**VASP energy**: -48.7 eV/cell
**Crystal system**: monoclinic
**Total magnetic moment**: 0.1 μB per formula unit



(8)
This record from Alexandria describes a relaxed structure of LaH2Cl. The functional is PBE-GGA.

Unit cell a=8.0925 b=8.0925 c=8.0925 alpha=148.14 beta=148.14 gamma=45.67
With the nearest neighbours (Å) after each atom.
Fractional positions:
La1 0.0000 0.0000 0.0000  4 H 2.17
La2 0.7500 0.2500 0.5000  4 H 2.17
H1 0.3750 0.1223 0.2473  2 La 2.17, 2 H 2.22
H2 0.8723 0.6250 0.7473  2 La 2.17, 2 H 2.22
H3 0.8750 0.1277 0.7527  2 La 2.17, 2 H 2.22
H4 0.8777 0.1250 0.2527  2 La 2.17, 2 H 2.22
Cl1 0.2500 0.7500 0.5000  8 H 3.10-3.11, 4 La 3.14
Cl2 0.5000 0.5000 0.0000  8 H 3.10-3.11, 4 La 3.14

Computed properties:
**Offset from the most stable computed form**: 290 meV/atom
**Symmetry**: I-42d (122)
**VASP energy**: -34.3 eV/cell
**Crystal system**: tetragonal
**Total magnetic moment**: 0.0 μB per formula unit



(9)
This record from Alexandria describes a relaxed structure of LaH2Cl. The functional is PBE-GGA.

Unit cell a=3.9875 b=5.6233 c=5.7652 alpha=90.00 beta=90.00 gamma=90.00
With the nearest neighbours (Å) after each atom.
Fractional positions:
La1 0.2500 0.2500 0.1917  6 H 2.34-2.37
La2 0.7500 0.7500 0.8083  6 H 2.34-2.37
H1 0.2500 0.5439 0.9043  3 H 2.32-2.33, 3 La 2.34-2.37
H2 0.2500 0.9561 0.9043  3 H 2.32-2.33, 3 La 2.34-2.37
H3 0.7500 0.0439 0.0957  3 H 2.32-2.33, 3 La 2.34-2.37
H4 0.7500 0.4561 0.0957  3 H 2.32-2.33, 3 La 2.34-2.37
Cl1 0.2500 0.7500 0.4161  4 La 3.01-3.10, 8 H 3.04-3.18
Cl2 0.7500 0.2500 0.5839  4 La 3.01-3.10, 8 H 3.04-3.18

Computed properties:
**Offset from the most stable computed form**: 0 meV/atom
**Symmetry**: Pmmn (59)
**VASP energy**: -36.6 eV/cell
**Crystal system**: orthorhombic
**Total magnetic moment**: 0.0 μB per formula unit



(10)
This record from Alexandria describes a relaxed structure of LaH3Cl. The functional is PBE-GGA.

Unit cell a=4.3738 b=4.3738 c=4.3738 alpha=90.00 beta=90.00 gamma=90.00
With the nearest neighbours (Å) after each atom.
Fractional positions:
La1 0.0000 0.0000 0.0000  6 H 2.19
H1 0.0000 0.0000 0.5000  2 La 2.19
H2 0.0000 0.5000 0.0000  2 La 2.19
H3 0.5000 0.0000 0.0000  2 La 2.19
Cl1 0.5000 0.5000 0.5000  12 H 3.09

Computed properties:
**Offset from the most stable computed form**: 0 meV/atom
**Symmetry**: Pm-3m (221)
**VASP energy**: -17.8 eV/cell
**Crystal system**: cubic
**Total magnetic moment**: 1.0 μB per formula unit



Look up the total magnetic moment of the tenth one. 1.0 μB per formula unit



Copy entry 7 word for word.
This record from Alexandria describes a relaxed structure of La4HCl5. The functional is PBE-GGA.

Unit cell a=9.0060 b=9.0060 c=8.4434 alpha=104.05 beta=104.05 gamma=24.86
With the nearest neighbours (Å) after each atom.
Fractional positions:
La1 0.0022 0.0022 0.2756  2 H 2.72, 4 Cl 2.87-3.02
La2 0.3511 0.3511 0.4138  1 H 2.54
La3 0.6489 0.6489 0.5862  1 H 2.54
La4 0.9978 0.9978 0.7244  2 H 2.72, 4 Cl 2.87-3.02
H1 0.5000 0.5000 0.5000  6 La 2.54-2.72
Cl1 0.1653 0.1653 0.8474  3 La 2.87-2.90
Cl2 0.1748 0.1748 0.3383  4 La 2.95-3.01
Cl3 0.5000 0.5000 0.0000  4 La 3.02
Cl4 0.8252 0.8252 0.6617  4 La 2.95-3.01
Cl5 0.8347 0.8347 0.1526  3 La 2.87-2.90

Computed properties:
**Symmetry**: C2/m (12)
**VASP energy**: -48.7 eV/cell
**Crystal system**: monoclinic
**Total magnetic moment**: 0.1 μB per formula unit



total magnetic moment of number 6 (La4H2Cl5)? 0.0 μB per formula unit